An optimized crystal structure of PrH2F6. Source: Alexandria, functional PBE-GGA.

Structure (CIF):
```
data_PrH2F6
_chemical_formula_sum 'Pr2 H4 F12'
_space_group_name_H-M_alt 'P 1'
_space_group_IT_number 1
_cell_length_a 7.879
_cell_length_b 7.470
_cell_length_c 7.879
_cell_angle_alpha 96.48
_cell_angle_beta 33.81
_cell_angle_gamma 96.48
loop_
_space_group_symop_operation_xyz
'x,y,z'
loop_
_atom_site_label
_atom_site_fract_x
_atom_site_fract_y
_atom_site_fract_z
Pr1 0.587 0.750 0.413
Pr2 0.413 0.250 0.587
H1 0.215 0.755 0.270
H2 0.730 0.745 0.785
H3 0.785 0.245 0.730
H4 0.270 0.255 0.215
F1 0.477 0.464 0.347
F2 0.653 0.036 0.523
F3 0.523 0.536 0.653
F4 0.347 0.964 0.477
F5 0.007 0.245 0.562
F6 0.438 0.255 0.993
F7 0.993 0.755 0.438
F8 0.562 0.745 0.007
F9 0.130 0.840 0.978
F10 0.022 0.660 0.870
F11 0.870 0.160 0.022
F12 0.978 0.340 0.130
```

Properties
E = -4.931 eV per atom
Relative energy among the computed polymorphs = 0.038 eV/atom

---

An optimized crystal structure of Sm8HgPb2. Source: Alexandria, functional PBE-GGA.

Structure (CIF):
```
data_Sm8HgPb2
_chemical_formula_sum 'Sm8 Hg1 Pb2'
_space_group_name_H-M_alt 'P 1'
_space_group_IT_number 1
_cell_length_a 5.246
_cell_length_b 6.943
_cell_length_c 10.214
_cell_angle_alpha 103.08
_cell_angle_beta 104.88
_cell_angle_gamma 90.00
loop_
_space_group_symop_operation_xyz
'x,y,z'
loop_
_atom_site_label
_atom_site_fract_x
_atom_site_fract_y
_atom_site_fract_z
Sm1 0.408 0.519 0.816
Sm2 0.656 0.008 0.311
Sm3 0.786 0.671 0.573
Sm4 0.986 0.232 0.972
Sm5 0.214 0.329 0.427
Sm6 0.344 0.992 0.689
Sm7 0.592 0.481 0.184
Sm8 0.014 0.768 0.028
Hg1 0.500 0.000 0.000
Pb1 0.820 0.235 0.641
Pb2 0.180 0.765 0.359
```

Properties
E = -4.385 eV per atom

---

An optimized crystal structure of SrRe3Ir. Source: Alexandria, functional PBE-GGA.

Structure (CIF):
```
data_SrRe3Ir
_chemical_formula_sum 'Sr1 Re3 Ir1'
_space_group_name_H-M_alt 'P 1'
_space_group_IT_number 1
_cell_length_a 4.645
_cell_length_b 4.645
_cell_length_c 4.645
_cell_angle_alpha 90.00
_cell_angle_beta 90.00
_cell_angle_gamma 90.00
loop_
_space_group_symop_operation_xyz
'x,y,z'
loop_
_atom_site_label
_atom_site_fract_x
_atom_site_fract_y
_atom_site_fract_z
Re1 0.000 0.500 0.000
Re2 0.000 0.000 0.500
Re3 0.500 0.000 0.000
Ir1 0.500 0.500 0.500
Sr1 0.000 0.000 0.000
```

Properties
E = -5.663 eV per atom
Relative energy among the computed polymorphs = 2.231 eV/atom

---

An optimized crystal structure of SiHg2Pb. Source: Alexandria, functional PBE-GGA.

Structure (CIF):
```
data_SiHg2Pb
_chemical_formula_sum 'Si1 Hg2 Pb1'
_space_group_name_H-M_alt 'P 1'
_space_group_IT_number 1
_cell_length_a 5.505
_cell_length_b 5.505
_cell_length_c 3.436
_cell_angle_alpha 90.00
_cell_angle_beta 90.00
_cell_angle_gamma 109.55
loop_
_space_group_symop_operation_xyz
'x,y,z'
loop_
_atom_site_label
_atom_site_fract_x
_atom_site_fract_y
_atom_site_fract_z
Hg1 0.000 0.000 0.000
Hg2 0.500 0.500 0.000
Pb1 0.500 0.000 0.500
Si1 0.000 0.500 0.500
```

Properties
E = -2.045 eV per atom
Uncorrected formation energy = 389 meV/atom
Relative energy among the computed polymorphs = 0.125 eV/atom

---

An optimized crystal structure of Tb4CeEr3S8. Source: Alexandria, functional PBE-GGA.

Structure (CIF):
```
data_Tb4CeEr3S8
_chemical_formula_sum 'Tb4 Ce1 Er3 S8'
_space_group_name_H-M_alt 'P 1'
_space_group_IT_number 1
_cell_length_a 7.833
_cell_length_b 7.827
_cell_length_c 7.834
_cell_angle_alpha 120.03
_cell_angle_beta 120.00
_cell_angle_gamma 90.00
loop_
_space_group_symop_operation_xyz
'x,y,z'
loop_
_atom_site_label
_atom_site_fract_x
_atom_site_fract_y
_atom_site_fract_z
Tb1 0.500 0.000 0.000
Tb2 0.500 0.000 0.500
Tb3 0.000 0.000 0.000
Tb4 0.000 0.000 0.500
Ce1 0.000 0.500 0.000
Er1 0.500 0.500 0.000
Er2 0.500 0.500 0.500
Er3 0.000 0.500 0.500
S1 0.252 0.748 0.996
S2 0.252 0.748 0.504
S3 0.252 0.256 0.504
S4 0.744 0.748 0.996
S5 0.256 0.252 0.004
S6 0.748 0.744 0.496
S7 0.748 0.252 0.496
S8 0.748 0.252 0.004
```

Properties
E = -6.441 eV per atom
Uncorrected formation energy = -1994 meV/atom

---

An optimized crystal structure of SiTe2NF. Source: Alexandria, functional PBE-GGA.

Structure (CIF):
```
data_SiTe2NF
_chemical_formula_sum 'Si1 Te2 N1 F1'
_space_group_name_H-M_alt 'P 1'
_space_group_IT_number 1
_cell_length_a 5.486
_cell_length_b 5.486
_cell_length_c 3.254
_cell_angle_alpha 90.00
_cell_angle_beta 90.00
_cell_angle_gamma 90.00
loop_
_space_group_symop_operation_xyz
'x,y,z'
loop_
_atom_site_label
_atom_site_fract_x
_atom_site_fract_y
_atom_site_fract_z
N1 0.000 0.000 0.500
Si1 0.000 0.000 0.000
Te1 0.000 0.500 0.000
Te2 0.500 0.000 0.000
F1 0.500 0.500 0.500
```

Properties
E = -4.307 eV per atom
Uncorrected formation energy = 74 meV/atom
Relative energy among the computed polymorphs = 0.000 eV/atom

---

An optimized crystal structure of Ce3FeGe3. Source: Alexandria, functional PBE-GGA.

Structure (CIF):
```
data_Ce3FeGe3
_chemical_formula_sum 'Ce6 Fe2 Ge6'
_space_group_name_H-M_alt 'P 1'
_space_group_IT_number 1
_cell_length_a 4.281
_cell_length_b 5.827
_cell_length_c 13.514
_cell_angle_alpha 85.46
_cell_angle_beta 80.89
_cell_angle_gamma 68.44
loop_
_space_group_symop_operation_xyz
'x,y,z'
loop_
_atom_site_label
_atom_site_fract_x
_atom_site_fract_y
_atom_site_fract_z
Ce1 0.527 0.328 0.617
Ce2 0.473 0.672 0.383
Ce3 0.252 0.264 0.232
Ce4 0.748 0.736 0.768
Ce5 0.399 0.282 0.919
Ce6 0.601 0.718 0.081
Fe1 0.762 0.068 0.407
Fe2 0.238 0.932 0.593
Ge1 0.855 0.744 0.546
Ge2 0.145 0.256 0.454
Ge3 0.118 0.840 0.925
Ge4 0.882 0.160 0.075
Ge5 0.954 0.849 0.243
Ge6 0.046 0.151 0.757
```

Properties
E = -6.330 eV per atom

---

An optimized crystal structure of MgRe2Hg. Source: Alexandria, functional PBE-GGA.

Structure (CIF):
```
data_MgRe2Hg
_chemical_formula_sum 'Mg1 Re2 Hg1'
_space_group_name_H-M_alt 'P 1'
_space_group_IT_number 1
_cell_length_a 4.544
_cell_length_b 4.544
_cell_length_c 4.544
_cell_angle_alpha 60.00
_cell_angle_beta 60.00
_cell_angle_gamma 60.00
loop_
_space_group_symop_operation_xyz
'x,y,z'
loop_
_atom_site_label
_atom_site_fract_x
_atom_site_fract_y
_atom_site_fract_z
Re1 0.250 0.250 0.250
Re2 0.750 0.750 0.750
Mg1 0.000 0.000 0.000
Hg1 0.500 0.500 0.500
```

Properties
E = -5.613 eV per atom
Relative energy among the computed polymorphs = 0.899 eV/atom

---

Copy entry 5 word for word.
An optimized crystal structure of Tb4CeEr3S8. Source: Alexandria, functional PBE-GGA.

Structure (CIF):
```
data_Tb4CeEr3S8
_chemical_formula_sum 'Tb4 Ce1 Er3 S8'
_space_group_name_H-M_alt 'P 1'
_space_group_IT_number 1
_cell_length_a 7.833
_cell_length_b 7.827
_cell_length_c 7.834
_cell_angle_alpha 120.03
_cell_angle_beta 120.00
_cell_angle_gamma 90.00
loop_
_space_group_symop_operation_xyz
'x,y,z'
loop_
_atom_site_label
_atom_site_fract_x
_atom_site_fract_y
_atom_site_fract_z
Tb1 0.500 0.000 0.000
Tb2 0.500 0.000 0.500
Tb3 0.000 0.000 0.000
Tb4 0.000 0.000 0.500
Ce1 0.000 0.500 0.000
Er1 0.500 0.500 0.000
Er2 0.500 0.500 0.500
Er3 0.000 0.500 0.500
S1 0.252 0.748 0.996
S2 0.252 0.748 0.504
S3 0.252 0.256 0.504
S4 0.744 0.748 0.996
S5 0.256 0.252 0.004
S6 0.748 0.744 0.496
S7 0.748 0.252 0.496
S8 0.748 0.252 0.004
```

Properties
E = -6.441 eV per atom
Uncorrected formation energy = -1994 meV/atom